Entry 1:
# Rb2VOsBr6 GGA-PBE optimized geometry
data_Rb2VOsBr6
_space_group_name_H-M_alt 'F m -3 m'
_space_group_IT_number 225
_space_group_name_Hall '-F 4 2 3'
_cell_length_a 10.516
_cell_length_b 10.516
_cell_length_c 10.516
_cell_angle_alpha 90.00
_cell_angle_beta 90.00
_cell_angle_gamma 90.00
loop_
_atom_site_label
_atom_site_fract_x
_atom_site_fract_y
_atom_site_fract_z
Rb1 0.250 0.250 0.250
V1 0.000 0.000 0.000
Os1 0.000 0.000 0.500
Br1 0.000 0.000 0.255
# total DFT energy (no corrections): -155.59 eV/cell
# ΔE_f (raw): -0.658 eV per atom
# density of states at the Fermi level: 0.949 states/eV/atom

---

Entry 2:
# TiBeZn2 GGA-PBE optimized geometry
data_TiBeZn2
_space_group_name_H-M_alt 'P 4/m m m'
_space_group_IT_number 123
_space_group_name_Hall '-P 4 2'
_cell_length_a 3.699
_cell_length_b 3.699
_cell_length_c 3.986
_cell_angle_alpha 90.00
_cell_angle_beta 90.00
_cell_angle_gamma 90.00
loop_
_atom_site_label
_atom_site_fract_x
_atom_site_fract_y
_atom_site_fract_z
Ti1 0.000 0.000 0.000
Be1 0.500 0.500 0.000
Zn1 0.000 0.500 0.500
# ΔH_f (0 K): -0.09 eV/atom
# total DFT energy (no corrections): -14.51 eV/cell
# density of states at the Fermi level: 0.615 states/eV/atom